1.
{
  "formula": "GdZn4Ru",
  "functional": "PBE-GGA",
  "state": "relaxed",
  "lattice_angstrom": [[0.0000, 3.6420, 3.6420], [3.6420, 0.0000, 3.6420], [3.6420, 3.6420, 0.0000]],
  "species": ["Gd", "Zn", "Zn", "Zn", "Zn", "Ru"],
  "fractional_positions": [[0.0000, 0.0000, 0.0000], [0.3765, 0.3765, 0.3765], [0.3765, 0.3765, 0.8704], [0.3765, 0.8704, 0.3765], [0.8704, 0.3765, 0.3765], [0.7500, 0.7500, 0.7500]],
  "energy_ev_per_cell": -30.03,
  "crystal_system": "cubic",
  "dos_at_fermi_per_ev_fu": 4.2
}



2.
{
  "formula": "GdZn2Ru",
  "functional": "PBE-GGA",
  "state": "relaxed",
  "lattice_angstrom": [[0.0000, 3.2801, 3.2801], [3.2801, 0.0000, 3.2801], [3.2801, 3.2801, 0.0000]],
  "species": ["Gd", "Zn", "Zn", "Ru"],
  "fractional_positions": [[0.0000, 0.0000, 0.0000], [0.2500, 0.2500, 0.2500], [0.7500, 0.7500, 0.7500], [0.5000, 0.5000, 0.5000]],
  "energy_ev_per_cell": -26.33,
  "crystal_system": "cubic",
  "dos_at_fermi_per_ev_fu": 5.1
}



no.,formation enthalpy at 0 K (eV/atom)
1,-0.262
2,-0.106